First-principles (PBE) data for a relaxed BaRu2Cl crystal, as listed in Alexandria via LeMat-Bulk.

The space group is C2/m (No. 12) and the conventional cell measures 12.245, 3.859 and 4.912 Å, with angles of 90.00, 110.09 and 90.00 degrees. The inequivalent atoms are Ba at (0.000, 0.000, 0.000), Ru at (0.218, 0.500, 0.864) and Cl at (0.000, 0.500, 0.500).

The relative energy among the computed polymorphs comes out at 0.243 eV per atom. For the total energy, the calculation gives -43.166 eV for the cell shown. The raw formation energy comes out at 18 kJ/mol of atoms.